Material: LiYTlCu
Method: DFT, PBE
State: optimized geometry

Output
The total energy is -15.897 eV/f.u. Its space-group type is F-43m, No. 216. For the formation energy, the calculation gives -0.2642 eV/atom.

Unit cell a=6.7349 b=6.7349 c=6.7349 alpha=90.00 beta=90.00 gamma=90.00
Last column: nearest neighbours and their distance in Å.
Element x y z (fractional)
Li (0.0000, 0.0000, 0.0000)  4 Tl 2.92, 4 Y 2.92
Li (0.0000, 0.5000, 0.5000)  4 Tl 2.92, 4 Y 2.92
Li (0.5000, 0.0000, 0.5000)  4 Tl 2.92, 4 Y 2.92
Li (0.5000, 0.5000, 0.0000)  4 Tl 2.92, 4 Y 2.92
Y (0.2500, 0.2500, 0.2500)  4 Li 2.92, 4 Cu 2.92
Y (0.2500, 0.7500, 0.7500)  4 Li 2.92, 4 Cu 2.92
Y (0.7500, 0.2500, 0.7500)  4 Li 2.92, 4 Cu 2.92
Y (0.7500, 0.7500, 0.2500)  4 Li 2.92, 4 Cu 2.92
Tl (0.2500, 0.2500, 0.7500)  4 Cu 2.92, 4 Li 2.92
Tl (0.2500, 0.7500, 0.2500)  4 Cu 2.92, 4 Li 2.92
Tl (0.7500, 0.2500, 0.2500)  4 Cu 2.92, 4 Li 2.92
Tl (0.7500, 0.7500, 0.7500)  4 Cu 2.92, 4 Li 2.92
Cu (0.0000, 0.0000, 0.5000)  4 Y 2.92, 4 Tl 2.92
Cu (0.0000, 0.5000, 0.0000)  4 Y 2.92, 4 Tl 2.92
Cu (0.5000, 0.0000, 0.0000)  4 Y 2.92, 4 Tl 2.92
Cu (0.5000, 0.5000, 0.5000)  4 Y 2.92, 4 Tl 2.92